(1)
A geometry-optimized InBS2N structure, computed with GGA-PBE.

Summary:
* final energy: -3.382 eV per atom
* magnetization: 2.721 μB/cell
* ΔE_f (raw): 1.817 eV per atom
* crystal system: tetragonal
* energy above the most stable polymorph in this dataset: 7.87 eV/f.u.
* space group: P4/mmm

Cell lengths 5.1171, 5.1171, 4.2538 Å; angles 90.00, 90.00, 90.00 degrees
Sites, in units of the cell vectors:
In (0.0000, 0.0000, 0.0000)
B (0.5000, 0.5000, 0.5000)
S (0.0000, 0.5000, 0.0000)
S (0.5000, 0.0000, 0.0000)
N (0.0000, 0.0000, 0.5000)

(2)
A geometry-optimized InBS2N structure, computed with GGA-PBE.

Summary:
* final energy: -4.956 eV per atom
* magnetization: 0.252 μB/cell
* ΔE_f (raw): 0.243 eV per atom
* crystal system: tetragonal
* energy above the most stable polymorph in this dataset: 0.00 eV/f.u.
* space group: P4/mmm

Cell lengths 6.1310, 6.1310, 2.5916 Å; angles 90.00, 90.00, 90.00 degrees
Sites, in units of the cell vectors:
In (0.0000, 0.0000, 0.0000)
B (0.5000, 0.5000, 0.5000)
S (0.0000, 0.5000, 0.5000)
S (0.5000, 0.0000, 0.5000)
N (0.5000, 0.5000, 0.0000)

(3)
A geometry-optimized InBSe2N structure, computed with GGA-PBE.

Summary:
* final energy: -3.200 eV per atom
* magnetization: 2.805 μB/cell
* ΔE_f (raw): 1.742 eV per atom
* crystal system: tetragonal
* energy above the most stable polymorph in this dataset: 8.48 eV/f.u.
* space group: P4/mmm

Cell lengths 5.5144, 5.5144, 4.0448 Å; angles 90.00, 90.00, 90.00 degrees
Sites, in units of the cell vectors:
In (0.0000, 0.0000, 0.0000)
B (0.5000, 0.5000, 0.5000)
Se (0.0000, 0.5000, 0.0000)
Se (0.5000, 0.0000, 0.0000)
N (0.0000, 0.0000, 0.5000)

(4)
A geometry-optimized InBSe2N structure, computed with GGA-PBE.

Summary:
* final energy: -4.896 eV per atom
* magnetization: 0.000 μB/cell
* ΔE_f (raw): 0.046 eV per atom
* crystal system: tetragonal
* energy above the most stable polymorph in this dataset: 0.00 eV/f.u.
* space group: P4/mmm

Cell lengths 6.4360, 6.4360, 2.6368 Å; angles 90.00, 90.00, 90.00 degrees
Sites, in units of the cell vectors:
In (0.0000, 0.0000, 0.0000)
B (0.5000, 0.5000, 0.5000)
Se (0.0000, 0.5000, 0.5000)
Se (0.5000, 0.0000, 0.5000)
N (0.5000, 0.5000, 0.0000)

(5)
A geometry-optimized InBTeN2 structure, computed with GGA-PBE.

Summary:
* final energy: -4.125 eV per atom
* magnetization: 0.000 μB/cell
* ΔE_f (raw): 1.716 eV per atom
* crystal system: tetragonal
* energy above the most stable polymorph in this dataset: 0.00 eV/f.u.
* space group: P4/mmm

Cell lengths 3.7652, 3.7652, 5.2994 Å; angles 90.00, 90.00, 90.00 degrees
Sites, in units of the cell vectors:
In (0.0000, 0.0000, 0.0000)
B (0.5000, 0.5000, 0.5000)
Te (0.5000, 0.5000, 0.0000)
N (0.0000, 0.5000, 0.5000)
N (0.5000, 0.0000, 0.5000)

(6)
A geometry-optimized InBTeN2 structure, computed with GGA-PBE.

Summary:
* final energy: -3.690 eV per atom
* magnetization: 3.263 μB/cell
* ΔE_f (raw): 2.152 eV per atom
* crystal system: tetragonal
* energy above the most stable polymorph in this dataset: 2.18 eV/f.u.
* space group: P4/mmm

Cell lengths 4.1578, 4.1578, 6.6913 Å; angles 90.00, 90.00, 90.00 degrees
Sites, in units of the cell vectors:
In (0.0000, 0.0000, 0.0000)
B (0.5000, 0.5000, 0.5000)
Te (0.0000, 0.0000, 0.5000)
N (0.0000, 0.5000, 0.0000)
N (0.5000, 0.0000, 0.0000)

(7)
A geometry-optimized InBTe2N structure, computed with GGA-PBE.

Summary:
* final energy: -4.709 eV per atom
* magnetization: 0.000 μB/cell
* ΔE_f (raw): 0.096 eV per atom
* crystal system: tetragonal
* energy above the most stable polymorph in this dataset: 0.00 eV/f.u.
* space group: P4/mmm

Cell lengths 6.7098, 6.7098, 2.7735 Å; angles 90.00, 90.00, 90.00 degrees
Sites, in units of the cell vectors:
In (0.0000, 0.0000, 0.0000)
B (0.5000, 0.5000, 0.5000)
Te (0.0000, 0.5000, 0.5000)
Te (0.5000, 0.0000, 0.5000)
N (0.5000, 0.5000, 0.0000)

(8)
A geometry-optimized InBTeN2 structure, computed with GGA-PBE.

Summary:
* final energy: -3.757 eV per atom
* magnetization: 2.179 μB/cell
* ΔE_f (raw): 2.084 eV per atom
* crystal system: tetragonal
* energy above the most stable polymorph in this dataset: 1.84 eV/f.u.
* space group: P4/mmm

Cell lengths 4.2293, 4.2293, 4.7385 Å; angles 90.00, 90.00, 90.00 degrees
Sites, in units of the cell vectors:
In (0.0000, 0.0000, 0.0000)
B (0.0000, 0.0000, 0.5000)
Te (0.5000, 0.5000, 0.5000)
N (0.0000, 0.5000, 0.0000)
N (0.5000, 0.0000, 0.0000)